First-principles (GGA-PBE) data for YFe2Hg2 after structural relaxation, as listed in Alexandria via LeMat-Bulk.

- Crystal system: tetragonal
- Formation energy: 0.13 eV per atom
- Calculated volume: 20.08 Å³/atom
- ΔE to the lowest computed polymorph: 0.0 meV per atom

Geometry as CIF:
```
data_YFe2Hg2
_chemical_formula_sum 'Y2 Fe4 Hg4'
_symmetry_space_group_name_H-M 'I 4/m m m'
_symmetry_Int_Tables_number 139
_symmetry_space_group_name_Hall '-I 4 2'
_cell_length_a 4.2613
_cell_length_b 4.2613
_cell_length_c 11.0583
_cell_angle_alpha 90.00
_cell_angle_beta 90.00
_cell_angle_gamma 90.00
loop_
_atom_site_label
_atom_site_fract_x
_atom_site_fract_y
_atom_site_fract_z
Y1 0.0000 0.0000 0.0000
Fe1 0.0000 0.0000 0.4048
Hg1 0.0000 0.5000 0.2500
```

***

First-principles (GGA-PBE) data for YFe2Hg after structural relaxation, as listed in Alexandria via LeMat-Bulk.

- Crystal system: monoclinic
- Formation energy: 0.15 eV per atom
- Calculated volume: 18.33 Å³/atom

Geometry as CIF:
```
data_YFe2Hg
_chemical_formula_sum 'Y2 Fe4 Hg2'
_symmetry_space_group_name_H-M 'C 1 m 1'
_symmetry_Int_Tables_number 8
_symmetry_space_group_name_Hall 'C -2y'
_cell_length_a 10.2607
_cell_length_b 3.4640
_cell_length_c 4.6161
_cell_angle_alpha 90.00
_cell_angle_beta 116.63
_cell_angle_gamma 90.00
loop_
_atom_site_label
_atom_site_fract_x
_atom_site_fract_y
_atom_site_fract_z
Y1 0.0000 0.0000 0.0000
Fe1 0.0455 0.5000 0.5455
Fe2 0.2237 0.0000 0.7233
Hg1 0.2802 0.5000 0.2805
```

***

First-principles (GGA-PBE) data for YFe2Hg after structural relaxation, as listed in Alexandria via LeMat-Bulk.

- Crystal system: orthorhombic
- Formation energy: 0.07 eV per atom
- Calculated volume: 18.37 Å³/atom

Geometry as CIF:
```
data_YFe2Hg
_chemical_formula_sum 'Y1 Fe2 Hg1'
_symmetry_space_group_name_H-M 'P m m 2'
_symmetry_Int_Tables_number 25
_symmetry_space_group_name_Hall 'P 2 -2'
_cell_length_a 3.2045
_cell_length_b 3.2480
_cell_length_c 7.0598
_cell_angle_alpha 90.00
_cell_angle_beta 90.00
_cell_angle_gamma 90.00
loop_
_atom_site_label
_atom_site_fract_x
_atom_site_fract_y
_atom_site_fract_z
Y1 0.0000 0.0000 0.0000
Fe1 0.0000 0.0000 0.5789
Fe2 0.5000 0.5000 0.7262
Hg1 0.5000 0.5000 0.3276
```

***

First-principles (GGA-PBE) data for YFeHg4 after structural relaxation, as listed in Alexandria via LeMat-Bulk.

- Crystal system: cubic
- Formation energy: 0.27 eV per atom
- Calculated volume: 22.89 Å³/atom

Geometry as CIF:
```
data_YFeHg4
_chemical_formula_sum 'Y4 Fe4 Hg16'
_symmetry_space_group_name_H-M 'F -4 3 m'
_symmetry_Int_Tables_number 216
_symmetry_space_group_name_Hall 'F -4 2 3'
_cell_length_a 8.1899
_cell_length_b 8.1899
_cell_length_c 8.1899
_cell_angle_alpha 90.00
_cell_angle_beta 90.00
_cell_angle_gamma 90.00
loop_
_atom_site_label
_atom_site_fract_x
_atom_site_fract_y
_atom_site_fract_z
Y1 0.0000 0.0000 0.0000
Fe1 0.2500 0.2500 0.7500
Hg1 0.1247 0.1247 0.3753
```